1.
Material: SrFeNiP2
Method: DFT, PBE-GGA
State: relaxed

a b c (Å): 6.391 6.391 6.391
angles (deg): 145.43 145.43 49.70
Element x y z (fractional)
1 Sr 0.000 0.000 0.000
2 Fe 0.750 0.250 0.500
3 P 0.649 0.649 0.000
4 Ni 0.250 0.750 0.500
5 P 0.351 0.351 0.000

Density: 5.24 g/cm3
Total energy: -6.07 eV/atom
Crystal system: tetragonal

---

2.
Material: TbFeNiP2
Method: DFT, PBE-GGA
State: relaxed

a b c (Å): 5.480 5.480 5.480
angles (deg): 138.81 138.81 59.67
Element x y z (fractional)
1 P 0.623 0.123 0.500
2 Fe 0.000 0.000 0.000
3 P 0.877 0.377 0.500
4 Ni 0.500 0.500 0.000
5 Tb 0.250 0.750 0.500

Density: 7.88 g/cm3
Total energy: -6.84 eV/atom
Crystal system: tetragonal

---

What did the second record say?
Material: TbFeNiP2
Method: DFT, PBE-GGA
State: relaxed

a b c (Å): 5.480 5.480 5.480
angles (deg): 138.81 138.81 59.67
Element x y z (fractional)
1 P 0.623 0.123 0.500
2 Fe 0.000 0.000 0.000
3 P 0.877 0.377 0.500
4 Ni 0.500 0.500 0.000
5 Tb 0.250 0.750 0.500

Density: 7.88 g/cm3
Total energy: -6.84 eV/atom
Crystal system: tetragonal

---

Which formula does entry 2 have?
TbFeNiP2

---

Which of these has the lowest density?
SrFeNiP2